Below is a geometry-optimized ScMn2Ag structure, with properties calculated at the GGA-PBE level.

abc: 5.003 5.003 5.003
angles: 132.28 132.31 69.76
Last column: magnetic moment on the atom in μB.
Fractional coordinates of all 4 atoms:
Ag: 0.750 0.250 0.500  0.00
Mn: 0.000 0.000 0.000  3.31
Mn: 0.500 0.500 0.000  3.31
Sc: 0.250 0.750 0.500  -0.31

Values from the calculation:
The value obtained for the total DFT energy (no corrections) is -6.681 eV per atom. The calculation puts the formation energy at 0.199 eV per atom. The space group is I4/mmm.

=====

Below is a geometry-optimized Sc2MnAg structure, with properties calculated at the GGA-PBE level.

abc: 4.741 4.741 4.741
angles: 60.00 60.00 60.00
Last column: magnetic moment on the atom in μB.
Fractional coordinates of all 4 atoms:
Ag: 0.500 0.500 0.500  0.03
Mn: 0.250 0.250 0.250  3.52
Sc: 0.000 0.000 0.000  -0.13
Sc: 0.750 0.750 0.750  -0.18

Values from the calculation:
The value obtained for the total DFT energy (no corrections) is -6.060 eV per atom. The calculation puts the formation energy at 0.111 eV per atom. The space group is F-43m.

=====

Below is a geometry-optimized Sc2MnAg structure, with properties calculated at the GGA-PBE level.

abc: 5.415 5.415 4.916
angles: 74.06 74.06 34.46
Last column: magnetic moment on the atom in μB.
Fractional coordinates of all 4 atoms:
Ag: 0.483 0.483 0.468  0.00
Mn: 0.763 0.763 0.796  3.31
Sc: 0.019 0.019 0.938  -0.26
Sc: 0.234 0.234 0.298  -0.26

Values from the calculation:
The value obtained for the total DFT energy (no corrections) is -6.181 eV per atom. The calculation puts the formation energy at -0.010 eV per atom. The space group is Cm.